1.
Density functional theory data (GGA-PBE) for a geometry-optimized Tb2PmTe2 structure.

Cell lengths 4.688, 4.688, 7.410 Å; angles 101.20, 101.20, 79.32 degrees
Element x y z (fractional)
1 Tb 0.248 0.752 0.000
2 Tb 0.752 0.248 0.000
3 Pm 0.000 0.000 0.500
4 Te 0.327 0.327 0.290
5 Te 0.673 0.673 0.710

Summary:
ΔE_f (raw): -0.79 eV per atom



2.
Density functional theory data (GGA-PBE) for a geometry-optimized SnP2SO structure.

Cell lengths 4.730, 4.730, 3.598 Å; angles 90.00, 90.00, 90.00 degrees
Element x y z (fractional)
1 Sn 0.000 0.000 0.000
2 P 0.000 0.500 0.500
3 P 0.500 0.000 0.500
4 S 0.500 0.500 0.500
5 O 0.500 0.500 0.000

Summary:
ΔE_f (raw): 0.32 eV per atom
energy above the most stable polymorph in this dataset: 0.002 eV/atom



3.
Density functional theory data (GGA-PBE) for a geometry-optimized Pm2DyErSc5 structure.

Cell lengths 9.339, 9.339, 9.339 Å; angles 127.16, 127.16, 77.99 degrees
Element x y z (fractional)
1 Pm 0.120 0.620 0.740
2 Pm 0.380 0.120 0.500
3 Pm 0.620 0.880 0.500
4 Pm 0.880 0.380 0.260
5 Dy 0.250 0.250 0.000
6 Dy 0.750 0.750 0.000
7 Er 0.250 0.750 0.500
8 Er 0.750 0.250 0.500
9 Sc 0.000 0.000 0.000
10 Sc 0.073 0.151 0.500
11 Sc 0.151 0.651 0.078
12 Sc 0.349 0.427 0.500
13 Sc 0.427 0.927 0.078
14 Sc 0.500 0.500 0.000
15 Sc 0.573 0.073 0.922
16 Sc 0.651 0.573 0.500
17 Sc 0.849 0.349 0.922
18 Sc 0.927 0.849 0.500

Summary:
VASP energy: -5.316 eV/atom



4.
Density functional theory data (GGA-PBE) for a geometry-optimized Hf2CSF structure.

Cell lengths 4.711, 4.711, 3.944 Å; angles 90.00, 90.00, 90.00 degrees
Element x y z (fractional)
1 Hf 0.000 0.500 0.000
2 Hf 0.500 0.000 0.000
3 C 0.000 0.000 0.500
4 S 0.500 0.500 0.000
5 F 0.500 0.500 0.500

Summary:
ΔE_f (raw): 0.55 eV per atom



5.
Density functional theory data (GGA-PBE) for a geometry-optimized AgPdRh2 structure.

Cell lengths 4.444, 4.444, 4.444 Å; angles 60.00, 60.00, 60.00 degrees
Element x y z (fractional)
1 Ag 0.000 0.000 0.000
2 Pd 0.500 0.500 0.500
3 Rh 0.250 0.250 0.250
4 Rh 0.750 0.750 0.750

Summary:
energy above the most stable polymorph in this dataset: 0.000 eV/atom



6.
Density functional theory data (GGA-PBE) for a geometry-optimized LaBeW2 structure.

Cell lengths 2.803, 2.803, 8.871 Å; angles 90.00, 90.00, 95.20 degrees
Element x y z (fractional)
1 La 0.000 0.000 0.000
2 Be 0.000 0.000 0.500
3 W 0.500 0.500 0.320
4 W 0.500 0.500 0.680

Summary:
VASP energy: -8.052 eV/atom



7.
Density functional theory data (GGA-PBE) for a geometry-optimized Sr2MnCu3Ge4 structure.

Cell lengths 4.269, 4.269, 10.506 Å; angles 90.00, 90.00, 90.00 degrees
Element x y z (fractional)
1 Sr 0.000 0.500 0.249
2 Sr 0.500 0.000 0.751
3 Mn 0.000 0.000 0.500
4 Cu 0.000 0.500 0.870
5 Cu 0.500 0.000 0.130
6 Cu 0.500 0.500 0.500
7 Ge 0.000 0.000 0.000
8 Ge 0.000 0.500 0.628
9 Ge 0.500 0.000 0.372
10 Ge 0.500 0.500 0.000

Summary:
VASP energy: -4.662 eV/atom



8.
Density functional theory data (GGA-PBE) for a geometry-optimized BeAlTe2 structure.

Cell lengths 3.860, 3.860, 6.660 Å; angles 90.00, 90.00, 90.00 degrees
Element x y z (fractional)
1 Be 0.000 0.000 0.000
2 Al 0.500 0.500 0.700
3 Te 0.000 0.000 0.612
4 Te 0.500 0.500 0.099

Summary:
ΔE_f (raw): -0.01 eV per atom
energy above the most stable polymorph in this dataset: 0.085 eV/atom